An optimized crystal structure of AgBi2WCl. Source: the Alexandria database, functional PBEsol.

Cell lengths 5.2740, 5.2740, 5.1198 Å; angles 90.00, 90.00, 90.00 degrees
Closest atoms and distances in Å follow each position.
Space group P4/mmm (No. 123)
Inequivalent atoms, fractional coordinates:
Ag: 0.0000 0.0000 0.0000 x1  2 W 2.56
Bi: 0.0000 0.5000 0.5000 x2  2 W 2.64
W: 0.0000 0.0000 0.5000 x1  2 Ag 2.56, 4 Bi 2.64
Cl: 0.5000 0.5000 0.0000 x1  8 Bi 3.68, 4 Ag 3.73

## Properties
Volume in Å³ per cell: 142
Uncorrected formation energy in kJ/mol of atoms: 75
Energy in eV/atom: -4.7673
D(E_F) in states/eV per cell: 4.77



An optimized crystal structure of Ba2Pd2Au. Source: the Alexandria database, functional PBEsol.

Cell lengths 3.8707, 3.8707, 17.8657 Å; angles 90.00, 90.00, 90.00 degrees
Closest atoms and distances in Å follow each position.
Space group I4/mmm (No. 139)
Inequivalent atoms, fractional coordinates:
Ba: 0.0000 0.0000 0.1127 x4  4 Pd 3.12, 4 Au 3.40
Pd: 0.0000 0.5000 0.2500 x4  4 Pd 2.74
Au: 0.0000 0.0000 0.5000 x2  8 Ba 3.40

## Properties
Volume in Å³ per cell: 268
Energy in eV/atom: -4.4008
D(E_F) in states/eV per cell: 5.53
Formation enthalpy at 0 K in eV/f.u.: -1.9



An optimized crystal structure of BiHBr2. Source: the Alexandria database, functional PBEsol.

Cell lengths 6.0594, 6.0594, 9.9224 Å; angles 90.00, 90.00, 90.00 degrees
Closest atoms and distances in Å follow each position.
Space group I-42d (No. 122)
Inequivalent atoms, fractional coordinates:
Bi: 0.0000 0.0000 0.0000 x4  4 Br 3.04
H: 0.0000 0.0000 0.5000 x4  4 Br 2.08
Br: 0.1153 0.2500 0.6250 x8  2 H 2.08

## Properties
Volume in Å³ per cell: 364
Energy in eV/atom: -2.5730
D(E_F) in states/eV per cell: 2.89



An optimized crystal structure of AlCd2Pb. Source: the Alexandria database, functional PBEsol.

Cell lengths 6.0335, 11.0998, 3.2772 Å; angles 90.00, 122.71, 90.00 degrees
Closest atoms and distances in Å follow each position.
Space group C2/m (No. 12)
Inequivalent atoms, fractional coordinates:
Al: 0.0000 0.0000 0.0000 x2  4 Pb 3.02-3.03, 4 Cd 3.16, 2 Al 3.28
Cd: 0.2500 0.2500 0.0000 x4  6 Cd 3.02-3.28, 2 Pb 3.16, 2 Al 3.16
Pb: 0.0000 0.5000 0.0000 x2  4 Al 3.02-3.03, 4 Cd 3.16, 2 Pb 3.28

## Properties
Volume in Å³ per cell: 185
Energy in eV/atom: -2.4288
D(E_F) in states/eV per cell: 3.65
Formation enthalpy at 0 K in eV/f.u.: 0.8



An optimized crystal structure of LiMg2Os. Source: the Alexandria database, functional PBEsol.

Cell lengths 2.8354, 4.6886, 9.5252 Å; angles 90.00, 90.00, 90.00 degrees
Closest atoms and distances in Å follow each position.
Space group Imm2 (No. 44)
Inequivalent atoms, fractional coordinates:
Li: 0.0000 0.0000 0.0000 x2  2 Os 2.61, 6 Mg 2.75-2.82, 2 Li 2.84
Mg: 0.0000 0.0000 0.4729 x2  2 Os 2.72, 4 Li 2.75, 4 Mg 2.84-2.95
Mg: 0.0000 0.5000 0.2445 x2  4 Os 2.74, 2 Li 2.82, 4 Mg 2.84-2.95
Os: 0.0000 0.5000 0.7297 x2  2 Li 2.61, 6 Mg 2.72-2.74, 2 Os 2.84

## Properties
Volume in Å³ per cell: 127
Energy in eV/atom: -4.1746
D(E_F) in states/eV per cell: 3.36
Formation enthalpy at 0 K in eV/f.u.: 0.9



An optimized crystal structure of CrTc3Os. Source: the Alexandria database, functional PBEsol.

Cell lengths 4.2605, 4.2605, 4.2605 Å; angles 90.00, 90.00, 90.00 degrees
Closest atoms and distances in Å follow each position.
Space group Pm-3m (No. 221)
Inequivalent atoms, fractional coordinates:
Cr: 0.0000 0.0000 0.0000 x1  6 Tc 2.13
Tc: 0.0000 0.0000 0.5000 x3  2 Cr 2.13
Os: 0.5000 0.5000 0.5000 x1  12 Tc 3.01

## Properties
Volume in Å³ per cell: 77
Energy in eV/atom: -9.7649
D(E_F) in states/eV per cell: 5.23
Formation enthalpy at 0 K in eV/f.u.: 7.4



- energy of number 5 (LiMg2Os)?
  -4.1746 eV/atom



Copy entry 3 word for word.
An optimized crystal structure of BiHBr2. Source: the Alexandria database, functional PBEsol.

Cell lengths 6.0594, 6.0594, 9.9224 Å; angles 90.00, 90.00, 90.00 degrees
Closest atoms and distances in Å follow each position.
Space group I-42d (No. 122)
Inequivalent atoms, fractional coordinates:
Bi: 0.0000 0.0000 0.0000 x4  4 Br 3.04
H: 0.0000 0.0000 0.5000 x4  4 Br 2.08
Br: 0.1153 0.2500 0.6250 x8  2 H 2.08

## Properties
Volume in Å³ per cell: 364
Energy in eV/atom: -2.5730
D(E_F) in states/eV per cell: 2.89